No. 1
This record from OQMD describes a relaxed structure of Hf4GaCuN2. The functional is PBE.

```
Hf4GaCuN2
1.0
-2.045 -1.613 1.876
0.457 -0.922 -3.040
10.168 -8.218 4.019
N Cu Ga Hf
2 1 1 4
direct
0.000 0.000 0.746
0.000 0.000 0.254
0.333 0.667 0.500
0.667 0.333 0.000
0.667 0.333 0.654
0.667 0.333 0.346
0.333 0.667 0.162
0.333 0.667 0.838
```

---

No. 2
This record from OQMD describes a relaxed structure of Hf2Ga2CuNi3. The functional is PBE.

```
Hf2Ga2CuNi3
1.0
-3.891 -1.312 0.163
2.390 -0.237 3.335
-2.374 7.315 2.222
Ga Hf Ni Cu
2 2 3 1
direct
0.333 0.667 0.501
0.333 0.667 0.987
0.667 0.333 0.259
0.000 0.000 0.746
0.667 0.333 0.919
0.667 0.333 0.587
0.000 0.000 0.412
0.000 0.000 0.089
```

---

No. 3
This record from OQMD describes a relaxed structure of Hf2Ga2Cu3Ni. The functional is PBE.

```
Hf2Ga2Cu3Ni
1.0
4.172 0.000 0.000
-2.086 3.613 0.000
0.000 0.000 7.959
Hf Cu Ga Ni
2 3 2 1
direct
0.333 0.667 0.249
0.667 0.333 0.755
0.667 0.333 0.409
0.333 0.667 0.593
0.667 0.333 0.090
0.000 0.000 0.495
0.000 0.000 0.992
0.333 0.667 0.918
```

---

No. 4
This record from OQMD describes a relaxed structure of Hf2Ga2Cu2NiPd. The functional is PBE.

```
Hf2Ga2Cu2NiPd
1.0
-1.293 2.376 3.445
-3.869 0.696 -1.932
-2.290 -5.187 2.718
Ga Cu Pd Hf Ni
2 2 1 2 1
direct
0.500 0.000 0.741
0.000 0.500 0.259
0.500 0.500 0.000
0.000 0.000 0.500
0.000 0.000 0.000
0.500 0.000 0.262
0.000 0.500 0.738
0.500 0.500 0.500
```

---

No. 5
This record from OQMD describes a relaxed structure of HfGaCuOs. The functional is PBE.

```
HfGaCuOs
1.0
0.000 3.144 3.144
3.144 0.000 3.144
3.144 3.144 0.000
Cu Hf Os Ga
1 1 1 1
direct
0.750 0.750 0.750
0.500 0.500 0.500
0.250 0.250 0.250
0.000 0.000 0.000
```

Values from the calculation:
energy above the lowest structure with this stoichiometry = 0 meV/atom

---

No. 6
This record from OQMD describes a relaxed structure of HfGaCuOs. The functional is PBE.

```
HfGaCuOs
1.0
1.885 -3.077 2.643
0.582 0.845 4.353
-2.472 -2.149 3.045
Cu Os Hf Ga
1 1 1 1
direct
0.750 0.750 0.750
0.500 0.500 0.500
0.250 0.250 0.250
0.000 0.000 0.000
```

Values from the calculation:
energy above the lowest structure with this stoichiometry = 251 meV/atom

---

No. 7
This record from OQMD describes a relaxed structure of HfZrGa2Cu2Pd2. The functional is PBE.

```
HfZrGa2Cu2Pd2
1.0
4.478 0.000 0.000
0.000 4.478 0.000
0.000 0.000 6.359
Zr Pd Ga Hf Cu
1 2 2 1 2
direct
0.000 0.000 0.500
0.500 0.000 0.244
0.000 0.500 0.756
0.500 0.500 0.500
0.000 0.000 0.000
0.500 0.500 0.000
0.000 0.500 0.246
0.500 0.000 0.754
```

---

No. 8
This record from OQMD describes a relaxed structure of TbHfGa2Cu4. The functional is PBE.

```
TbHfGa2Cu4
1.0
4.269 0.000 0.000
-2.134 3.697 0.000
0.000 0.000 8.217
Ga Tb Cu Hf
2 1 4 1
direct
0.667 0.333 0.780
0.667 0.333 0.220
0.333 0.667 0.500
0.000 0.000 0.327
0.000 0.000 0.673
0.333 0.667 0.847
0.333 0.667 0.153
0.000 0.000 0.000
```

---

No. 9
This record from OQMD describes a relaxed structure of HfGaCuTc. The functional is PBE.

```
HfGaCuTc
1.0
0.000 3.173 3.173
3.173 0.000 3.173
3.173 3.173 0.000
Ga Cu Tc Hf
1 1 1 1
direct
0.000 0.000 0.000
0.750 0.750 0.750
0.500 0.500 0.500
0.250 0.250 0.250
```

Values from the calculation:
energy above the lowest structure with this stoichiometry = 250 meV/atom

---

No. 10
This record from OQMD describes a relaxed structure of HfGaCuTc. The functional is PBE.

```
HfGaCuTc
1.0
3.952 -1.122 1.709
2.400 3.017 2.222
0.497 -0.360 4.407
Tc Hf Ga Cu
1 1 1 1
direct
0.250 0.250 0.250
0.500 0.500 0.500
0.000 0.000 0.000
0.750 0.750 0.750
```

Values from the calculation:
energy above the lowest structure with this stoichiometry = 0 meV/atom

---

No. 11
This record from OQMD describes a relaxed structure of YHfGaCu. The functional is PBE.

```
YHfGaCu
1.0
0.000 3.420 3.420
3.420 0.000 3.420
3.420 3.420 0.000
Cu Y Hf Ga
1 1 1 1
direct
0.750 0.750 0.750
0.500 0.500 0.500
0.250 0.250 0.250
0.000 0.000 0.000
```

Values from the calculation:
energy above the lowest structure with this stoichiometry = 0 meV/atom

---

No. 12
This record from OQMD describes a relaxed structure of HfZnGaCu. The functional is PBE.

```
HfZnGaCu
1.0
-1.990 3.140 2.493
-0.368 4.184 -1.546
-4.006 1.600 -1.195
Hf Zn Ga Cu
1 1 1 1
direct
0.250 0.250 0.250
0.500 0.500 0.500
0.000 0.000 0.000
0.750 0.750 0.750
```

Values from the calculation:
energy above the lowest structure with this stoichiometry = 0 meV/atom

---

No. 13
This record from OQMD describes a relaxed structure of HfZnGaCu. The functional is PBE.

```
HfZnGaCu
1.0
4.117 -0.669 1.580
1.157 1.648 3.980
0.645 -2.751 3.451
Ga Cu Zn Hf
1 1 1 1
direct
0.000 0.000 0.000
0.750 0.750 0.750
0.250 0.250 0.250
0.500 0.500 0.500
```

Values from the calculation:
energy above the lowest structure with this stoichiometry = 5 meV/atom

---

Number 1: electronic total energy -71.21 eV per cell. Number 2: electronic total energy -50.61 eV per cell. Number 3: electronic total energy -45.62 eV per cell. Number 4: electronic total energy -47.89 eV per cell. Number 5: electronic total energy -28.87 eV per cell. Number 6: electronic total energy -27.87 eV per cell. Number 7: electronic total energy -46.50 eV per cell. Number 8: electronic total energy -38.15 eV per cell. Number 9: electronic total energy -26.72 eV per cell. Number 10: electronic total energy -27.72 eV per cell. Number 11: electronic total energy -22.09 eV per cell. Number 12: electronic total energy -18.41 eV per cell. Number 13: electronic total energy -18.39 eV per cell.